# 1
# meta-GGA SCAN ErSbMo2O9, PBEsol geometry
# ΔE_f (raw): -2402 meV per atom
# Crystal system: monoclinic
# Magnetization: 0.000 μB/cell
data_ErSbMo2O9
_cell_length_a 12.800
_cell_length_b 13.962
_cell_length_c 10.619
_cell_angle_alpha 90.00
_cell_angle_beta 124.16
_cell_angle_gamma 90.00
_space_group_name_H-M_alt 'C 1 2/c 1'
_space_group_IT_number 15
_space_group_name_Hall '-C 2yc'
loop_
_atom_site_label
_atom_site_fract_x
_atom_site_fract_y
_atom_site_fract_z
Er1 0.000 0.126 0.250
Er2 0.000 0.330 0.750
Sb1 0.137 0.480 0.535
Mo1 0.154 0.107 0.028
Mo2 0.246 0.190 0.695
O1 0.019 0.441 0.603
O2 0.081 0.013 0.900
O3 0.082 0.214 0.932
O4 0.116 0.262 0.271
O5 0.134 0.088 0.178
O6 0.139 0.167 0.501
O7 0.178 0.272 0.754
O8 0.186 0.409 0.922
O9 0.217 0.423 0.204

---

# 2
# meta-GGA SCAN Ta2RuSe, PBEsol geometry
# ΔE_f (raw): -186 meV per atom
# Crystal system: tetragonal
# Magnetization: 0.000 μB/cell
data_Ta2RuSe
_cell_length_a 3.205
_cell_length_b 3.205
_cell_length_c 6.403
_cell_angle_alpha 90.00
_cell_angle_beta 90.00
_cell_angle_gamma 90.00
_space_group_name_H-M_alt 'P 4 m m'
_space_group_IT_number 99
_space_group_name_Hall 'P 4 -2'
loop_
_atom_site_label
_atom_site_fract_x
_atom_site_fract_y
_atom_site_fract_z
Ta1 0.000 0.000 0.000
Ta2 0.500 0.500 0.297
Ru1 0.000 0.000 0.497
Se1 0.500 0.500 0.793

---

# 3
# meta-GGA SCAN CdTcF2, PBEsol geometry
# ΔE_f (raw): -1179 meV per atom
# Crystal system: trigonal
# Magnetization: 0.000 μB/cell
data_CdTcF2
_cell_length_a 2.7398
_cell_length_b 2.7398
_cell_length_c 25.4435
_cell_angle_alpha 90.00
_cell_angle_beta 90.00
_cell_angle_gamma 120.00
_space_group_name_H-M_alt 'R -3 m'
_space_group_IT_number 166
_space_group_name_Hall '-R 3 2"'
loop_
_atom_site_label
_atom_site_fract_x
_atom_site_fract_y
_atom_site_fract_z
Cd1 0.0000 0.0000 0.0000
Tc1 0.0000 0.0000 0.5000
F1 0.0000 0.0000 0.4250